The following is a PBE calculation of crystalline NbAg2Rh at its relaxed geometry, from Alexandria via LeMat-Bulk.

The value obtained for the density of states at the Fermi level is 4.98 states/eV/f.u. The calculation puts the distance to the lowest polymorph of the same formula at 1.149 eV/f.u. For the formation energy, the calculation gives 0.67 eV per atom. As for the total magnetic moment: 0.449 μB per cell. The total energy is -20.452 eV per formula unit. The crystal system is tetragonal.

Cell lengths 7.5375, 7.5375, 5.1978 Å; angles 90.00, 90.00, 90.00 degrees
Closest atoms and distances in Å follow each position.
Atoms (fractional coordinates):
Nb 0.0000 0.0000 0.0000  2 Rh 2.60, 4 Ag 2.80
Nb 0.0000 0.5000 0.2500  2 Rh 2.60, 4 Ag 2.80
Nb 0.5000 0.0000 0.7500  2 Rh 2.60, 4 Ag 2.80
Nb 0.5000 0.5000 0.5000  2 Rh 2.60, 4 Ag 2.80
Ag 0.2390 0.2500 0.6250  2 Ag 2.60, 2 Rh 2.69, 2 Nb 2.80
Ag 0.2500 0.7390 0.8750  2 Ag 2.60, 2 Rh 2.69, 2 Nb 2.80
Ag 0.2500 0.7610 0.3750  2 Ag 2.60, 2 Rh 2.69, 2 Nb 2.80
Ag 0.2610 0.2500 0.1250  2 Ag 2.60, 2 Rh 2.69, 2 Nb 2.80
Ag 0.7390 0.7500 0.1250  2 Ag 2.60, 2 Rh 2.69, 2 Nb 2.80
Ag 0.7500 0.2390 0.3750  2 Ag 2.60, 2 Rh 2.69, 2 Nb 2.80
Ag 0.7500 0.2610 0.8750  2 Ag 2.60, 2 Rh 2.69, 2 Nb 2.80
Ag 0.7610 0.7500 0.6250  2 Ag 2.60, 2 Rh 2.69, 2 Nb 2.80
Rh 0.0000 0.0000 0.5000  2 Nb 2.60, 4 Ag 2.69
Rh 0.0000 0.5000 0.7500  2 Nb 2.60, 4 Ag 2.69
Rh 0.5000 0.0000 0.2500  2 Nb 2.60, 4 Ag 2.69
Rh 0.5000 0.5000 0.0000  2 Nb 2.60, 4 Ag 2.69


The following is a PBE calculation of crystalline NbAgRhS2 at its relaxed geometry, from Alexandria via LeMat-Bulk.

The value obtained for the density of states at the Fermi level is 6.57 states/eV/f.u. As for the total magnetic moment: 0.000 μB per cell. The total energy is -24.498 eV per formula unit. The crystal system is tetragonal.

Cell lengths 4.4937, 4.4937, 4.9170 Å; angles 90.00, 90.00, 90.00 degrees
Closest atoms and distances in Å follow each position.
Atoms (fractional coordinates):
Nb 0.0000 0.0000 0.0000  4 Ag 3.18, 8 S 3.33
Ag 0.5000 0.5000 0.0000  2 Rh 2.46
Rh 0.5000 0.5000 0.5000  4 S 2.25, 2 Ag 2.46
S 0.0000 0.5000 0.5000  2 Rh 2.25
S 0.5000 0.0000 0.5000  2 Rh 2.25